Version a
Si2HgAs | GGA-PBE | relaxed

```
data_Si2HgAs
_symmetry_space_group_name_H-M 'P 1'
_symmetry_Int_Tables_number 1
_cell_length_a 4.652
_cell_length_b 4.658
_cell_length_c 4.658
_cell_angle_alpha 70.59
_cell_angle_beta 70.38
_cell_angle_gamma 109.36
loop_
_symmetry_equiv_pos_as_xyz
'x,y,z'
loop_
_atom_site_label
_atom_site_type_symbol
_atom_site_fract_x
_atom_site_fract_y
_atom_site_fract_z
_atom_site_occupancy
Si1 Si 0.500 0.000 0.500 1
Si2 Si 0.000 0.000 0.000 1
Hg1 Hg 0.500 0.500 0.000 1
As1 As 0.000 0.500 0.500 1
```

Values from the calculation:
crystal system = tetragonal
space-group type = No. 139



Version b
Si2HgAs | GGA-PBE | relaxed

```
data_Si2HgAs
_symmetry_space_group_name_H-M 'P 1'
_symmetry_Int_Tables_number 1
_cell_length_a 5.757
_cell_length_b 5.757
_cell_length_c 5.909
_cell_angle_alpha 113.85
_cell_angle_beta 113.85
_cell_angle_gamma 28.40
loop_
_symmetry_equiv_pos_as_xyz
'x,y,z'
loop_
_atom_site_label
_atom_site_type_symbol
_atom_site_fract_x
_atom_site_fract_y
_atom_site_fract_z
_atom_site_occupancy
Si1 Si 0.503 0.503 0.579 1
Si2 Si 0.997 0.997 0.921 1
Hg1 Hg 0.250 0.250 0.250 1
As1 As 0.750 0.750 0.750 1
```

Values from the calculation:
crystal system = monoclinic
space-group type = No. 12



Version c
Si2HgAs | GGA-PBE | relaxed

```
data_Si2HgAs
_symmetry_space_group_name_H-M 'P 1'
_symmetry_Int_Tables_number 1
_cell_length_a 5.185
_cell_length_b 5.185
_cell_length_c 2.833
_cell_angle_alpha 90.00
_cell_angle_beta 90.00
_cell_angle_gamma 90.03
loop_
_symmetry_equiv_pos_as_xyz
'x,y,z'
loop_
_atom_site_label
_atom_site_type_symbol
_atom_site_fract_x
_atom_site_fract_y
_atom_site_fract_z
_atom_site_occupancy
As1 As 0.500 0.000 0.500 1
Si1 Si 0.500 0.500 0.000 1
Si2 Si 0.000 0.000 0.000 1
Hg1 Hg 0.000 0.500 0.500 1
```

Values from the calculation:
crystal system = tetragonal
space-group type = No. 123



Quick one: least stable of them? version c